Record 1
5
Lattice="5.198 0.000 0.000 0.000 5.191 0.000 0.000 0.000 5.198" Properties=species:S:1:pos:R:3 comment="NaCdFeBi2 GGA-PBE relaxed" volume_a3_per_atom=28.06 dft_energy_ev_per_cell=-17.62 formation_enthalpy_0k_ev_per_atom=0.17 space_group="P4/mmm, No. 123" pbc="T T T"
Fe 0.000 0.000 0.000
Na 2.599 2.596 2.599
Bi 0.000 0.000 2.599
Bi 2.599 0.000 0.000
Cd 0.000 2.596 0.000

=====

Record 2
7
Lattice="5.048 0.000 -0.666 0.000 3.675 0.000 -0.763 0.000 13.674" Properties=species:S:1:pos:R:3 comment="Ac2Y4Ho GGA-PBE relaxed" volume_a3_per_atom=35.97 dft_energy_ev_per_cell=-37.89 formation_enthalpy_0k_ev_per_atom=0.11 space_group="Cmmm, No. 65" pbc="T T T"
Ac 3.568 1.837 7.584
Ac 0.716 1.837 5.424
Y 4.052 1.837 11.250
Y 2.981 0.000 3.134
Y 0.232 1.837 1.758
Y 1.303 0.000 9.874
Ho 2.524 0.000 -0.333

=====

Record 3
9
Lattice="5.092 0.000 0.000 0.000 5.092 0.000 0.000 0.000 11.025" Properties=species:S:1:pos:R:3 comment="Ce2PrErSe5 GGA-PBE relaxed" volume_a3_per_atom=31.76 dft_energy_ev_per_cell=-50.70 space_group="P4/mmm, No. 123" pbc="T T T"
Ce 2.546 2.546 3.427
Ce 2.546 2.546 7.598
Pr 0.000 0.000 0.000
Er 0.000 0.000 5.512
Se 0.000 2.546 5.512
Se 2.546 0.000 5.512
Se 0.000 0.000 8.255
Se 0.000 0.000 2.769
Se 2.546 2.546 0.000

=====

Record 4
4
Lattice="4.273 0.000 0.000 0.000 4.474 0.000 0.000 0.000 4.474" Properties=species:S:1:pos:R:3 comment="Hf2ScNb GGA-PBE relaxed" volume_a3_per_atom=21.39 polymorph_energy_ev_per_atom=0.030 dft_energy_ev_per_cell=-35.82 formation_enthalpy_0k_ev_per_atom=0.12 space_group="P4/mmm, No. 123" pbc="T T T"
Sc 2.137 0.000 0.000
Nb 2.137 2.237 2.237
Hf 0.000 0.000 2.237
Hf 0.000 2.237 0.000

=====

Record 5
4
Lattice="1.575 4.118 -0.013 -1.575 4.118 -0.013 0.000 0.685 5.532" Properties=species:S:1:pos:R:3 comment="PWAu2 GGA-PBE relaxed" volume_a3_per_atom=17.94 polymorph_energy_ev_per_atom=0.142 dft_energy_ev_per_cell=-23.92 formation_enthalpy_0k_ev_per_atom=0.25 space_group="Cm, No. 8" pbc="T T T"
P 0.000 4.200 3.271
W 0.000 6.616 3.722
Au 0.000 0.829 5.418
Au 0.000 2.422 1.379

=====

Record 6
9
Lattice="-6.474 6.474 2.102 6.474 -6.474 2.102 6.474 6.474 -2.102" Properties=species:S:1:pos:R:3 comment="Sr4Y5 GGA-PBE relaxed" volume_a3_per_atom=39.15 dft_energy_ev_per_cell=-37.05 formation_enthalpy_0k_ev_per_atom=0.22 space_group="I4/mmm, No. 139" pbc="T T T"
Sr 0.000 4.148 0.000
Sr 0.000 8.800 0.000
Sr 8.800 0.000 0.000
Sr 4.148 0.000 0.000
Y 0.000 0.000 0.000
Y 2.107 -2.107 2.102
Y -2.107 2.107 2.102
Y 2.107 2.107 2.102
Y 4.367 4.367 0.000

=====

Record 7
9
Lattice="6.241 -0.278 -0.189 1.037 7.375 0.723 1.037 3.380 6.594" Properties=species:S:1:pos:R:3 comment="UTl2Se2Cl4 GGA-PBE relaxed" volume_a3_per_atom=32.30 dft_energy_ev_per_cell=-40.22 space_group="C2/m, No. 12" pbc="T T T"
U 3.120 -0.139 -0.095
Tl 3.256 7.512 5.111
Tl 5.059 2.965 2.017
Se 2.055 1.819 1.237
Se 6.260 8.658 5.890
Cl 2.533 5.575 1.672
Cl 5.783 6.874 2.557
Cl 5.783 4.902 5.455
Cl 2.533 3.602 4.571

=====

Record 8
8
Lattice="-2.704 -2.472 0.207 1.313 -1.686 -2.983 4.467 -7.290 3.830" Properties=species:S:1:pos:R:3 comment="TaCrSi2 GGA-PBE relaxed" volume_a3_per_atom=15.15 dft_energy_ev_per_cell=-62.84 space_group="I-42d, No. 122" pbc="T T T"
Cr -0.696 -2.079 -1.388
Cr 2.542 -5.528 -0.270
Si -0.372 -3.544 0.711
Si 1.562 -3.220 -0.878
Si 2.847 -7.050 1.790
Si 2.115 -9.083 0.485
Ta 0.000 0.000 0.000
Ta 0.534 -5.921 1.324

=====

Record 9
7
Lattice="4.760 0.000 0.000 -2.380 4.122 0.000 0.000 0.000 10.869" Properties=species:S:1:pos:R:3 comment="In2SnHg2Pb2 GGA-PBE relaxed" volume_a3_per_atom=30.47 dft_energy_ev_per_cell=-16.94 formation_enthalpy_0k_ev_per_atom=0.08 space_group="P-3m1, No. 164" pbc="T T T"
In 2.380 1.374 1.458
In 0.000 2.748 9.411
Sn 0.000 0.000 0.000
Hg 2.380 1.374 6.077
Hg 0.000 2.748 4.793
Pb 0.000 0.000 7.548
Pb 0.000 0.000 3.321

=====

Record 10
12
Lattice="-2.843 3.734 -2.625 -4.593 1.851 2.098 2.044 8.283 4.060" Properties=species:S:1:pos:R:3 comment="YU2Pt9 GGA-PBE relaxed" volume_a3_per_atom=18.63 polymorph_energy_ev_per_atom=0.122 dft_energy_ev_per_cell=-92.08 formation_enthalpy_0k_ev_per_atom=-0.72 space_group="R-3m, No. 166" pbc="T T T"
Y 0.000 0.000 0.000
U -5.527 8.296 1.261
U 0.134 5.572 2.272
Pt -2.920 11.997 3.703
Pt -2.472 1.871 -0.170
Pt -2.696 6.934 1.767
Pt -2.541 4.434 0.827
Pt -3.979 6.322 -0.501
Pt -4.863 5.369 1.888
Pt -2.852 9.434 2.706
Pt -0.529 8.499 1.645
Pt -1.414 7.546 4.034

=====

Record 11
4
Lattice="5.341 0.000 0.000 2.670 4.625 0.000 2.670 1.542 4.361" Properties=species:S:1:pos:R:3 comment="CeHoTmSn GGA-PBE relaxed" volume_a3_per_atom=26.93 dft_energy_ev_per_cell=-19.68 formation_enthalpy_0k_ev_per_atom=-0.17 space_group="F-43m, No. 216" pbc="T T T"
Tm 5.341 3.083 2.180
Ho 0.000 0.000 0.000
Ce 8.011 4.625 3.271
Sn 2.670 1.542 1.090

=====

Record 12
8
Lattice="-2.996 2.930 1.283 -3.324 -5.354 4.462 5.367 3.687 4.111" Properties=species:S:1:pos:R:3 comment="PrNd2ScTe4 GGA-PBE relaxed" volume_a3_per_atom=30.82 dft_energy_ev_per_cell=-43.79 space_group="P2/m, No. 10" pbc="T T T"
Pr -3.160 -1.212 2.873
Nd 1.186 3.308 2.697
Nd 1.021 -0.833 4.286
Sc 0.000 0.000 0.000
Te -1.017 1.085 2.631
Te 0.064 0.178 7.225
Te 3.270 1.512 4.181
Te -1.227 -3.179 4.392